Compound: La2GaOsI
Source: Alexandria via LeMat-Bulk
Functional: PBE
Structure: relaxed

a b c (Å): 5.608 5.608 4.860
angles (deg): 90.00 90.00 90.00
Sites, in units of the cell vectors:
1 La 0.000 0.500 0.000
2 La 0.500 0.000 0.000
3 Ga 0.000 0.000 0.500
4 Os 0.000 0.000 0.000
5 I 0.500 0.500 0.500

Calculated total energy = -5.6679 eV/atom
Density of states at the Fermi level = 3.88 states/eV per cell
Space group = P4/mmm (123)
ΔE_f (raw) = -536 meV per atom